A plane-wave DFT calculation with SCAN was carried out for a crystal of Y3CdS relaxed with PBEsol.

Magnetic moment, μB/atom: 0.000
Space group: Pm-3m, No. 221
Energy, hartree per atom: -0.9016

a = 5.490 Å, b = 5.490 Å, c = 5.490 Å
α = 90.00°, β = 90.00°, γ = 90.00°
Positions (direct):
Y (0.000, 0.000, 0.500)
Y (0.500, 0.000, 0.000)
Y (0.000, 0.500, 0.000)
Cd (0.000, 0.000, 0.000)
S (0.500, 0.500, 0.500)